A plane-wave DFT calculation with PBE was carried out for a geometry-optimized Ho5Sn2Bi2 structure.

Unit cell a=8.207 b=8.182 c=8.785 alpha=117.75 beta=90.00 gamma=90.00
Positions (direct):
Sn  0.637  0.862  0.000
Ho  0.163  0.467  0.262
Bi  0.000  0.796  0.591
Bi  0.000  0.204  0.409
Bi  0.500  0.704  0.409
Ho  0.000  0.000  0.000
Ho  0.500  0.500  0.000
Ho  0.663  0.295  0.262
Sn  0.363  0.138  0.000
Ho  0.663  0.033  0.738
Ho  0.337  0.705  0.738
Bi  0.500  0.296  0.591
Ho  0.837  0.795  0.262
Sn  0.863  0.362  0.000
Ho  0.837  0.533  0.738
Ho  0.163  0.205  0.738
Sn  0.137  0.638  0.000
Ho  0.337  0.967  0.262

Properties
ΔE_f ... -0.78 eV/atom
Calculated total energy ... -91.31 eV/cell
DOS at the Fermi energy ... 6.365 states/eV/f.u.